[1]
Mn21Ga2C6 | PBE | relaxed

Properties
ρ = 7.839 g/cm3
ΔH_f (0 K) = -1.80 eV per formula unit
Crystal system = cubic
Spin magnetization = 0.73 μB/atom

Cell and atoms, written as CIF:
```
data_Mn21Ga2C6
_chemical_formula_sum 'Mn84 Ga8 C24'
_symmetry_space_group_name_H-M 'F m -3 m'
_symmetry_Int_Tables_number 225
_symmetry_space_group_name_Hall '-F 4 2 3'
_cell_length_a 10.498
_cell_length_b 10.498
_cell_length_c 10.498
_cell_angle_alpha 90.00
_cell_angle_beta 90.00
_cell_angle_gamma 90.00
loop_
_atom_site_label
_atom_site_type_symbol
_atom_site_fract_x
_atom_site_fract_y
_atom_site_fract_z
_atom_site_occupancy
Mn1 Mn 0.000 0.000 0.000 1
Mn2 Mn 0.000 0.166 0.166 1
Mn3 Mn 0.115 0.115 0.385 1
Ga1 Ga 0.250 0.250 0.250 1
C1 C 0.000 0.000 0.275 1
```

***

[2]
Mn6Ga3C | PBE | relaxed

Properties
ρ = 6.758 g/cm3
ΔH_f (0 K) = 0.84 eV per formula unit
Crystal system = monoclinic
Spin magnetization = 1.47 μB/atom

Cell and atoms, written as CIF:
```
data_Mn6Ga3C
_chemical_formula_sum 'Mn12 Ga6 C2'
_symmetry_space_group_name_H-M 'C 1 2/m 1'
_symmetry_Int_Tables_number 12
_cell_length_a 8.847
_cell_length_b 5.232
_cell_length_c 6.196
_cell_angle_alpha 90.00
_cell_angle_beta 109.31
_cell_angle_gamma 90.00
loop_
_symmetry_equiv_pos_as_xyz
'x,y,z'
'-x,-y,-z'
'-x,y,-z'
'x,-y,z'
'x+1/2,y+1/2,z'
'-x+1/2,-y+1/2,-z'
'-x+1/2,y+1/2,-z'
'x+1/2,-y+1/2,z'
loop_
_atom_site_label
_atom_site_type_symbol
_atom_site_fract_x
_atom_site_fract_y
_atom_site_fract_z
_atom_site_occupancy
Mn1 Mn 0.107 0.250 0.376 1
Mn2 Mn 0.185 0.000 0.799 1
Ga1 Ga 0.000 0.500 0.000 1
Ga2 Ga 0.190 0.500 0.753 1
C1 C 0.000 0.000 0.500 1
```

***

What is the ΔH_f (0 K) in the first record?
-1.80 eV per formula unit